# 1
The following is a DFT calculation (GGA-PBE) of an optimized crystal structure of CaAlCo2Tc.

Properties
- Space-group type: P4/mmm, No. 123
- V: 18.0 Å³ per atom
- Energy: -4.12 eV/atom
- Spin magnetization: 0.811 μB per atom
- Formation energy: 1.9462 eV per atom

Lattice parameters (Å, degrees): 4.234 5.008 4.234 90.00 90.00 90.00
Fractional positions:
Ca  0.000  0.000  0.000
Co  0.000  0.000  0.500
Co  0.500  0.000  0.000
Tc  0.500  0.500  0.500
Al  0.000  0.500  0.000

# 2
The following is a DFT calculation (GGA-PBE) of an optimized crystal structure of Th3Tl2C.

Properties
- Space-group type: C2/m, No. 12
- V: 26.7 Å³ per atom
- Energy: -6.28 eV/atom
- Spin magnetization: 0.000 μB per atom
- Formation energy: -0.2395 eV per atom

Lattice parameters (Å, degrees): 5.152 7.386 9.547 112.83 105.65 90.00
Fractional positions:
Th  0.500  0.250  0.000
Th  0.500  0.750  0.000
Th  0.107  0.107  0.213
Th  0.893  0.393  0.787
Th  0.107  0.607  0.213
Th  0.893  0.893  0.787
Tl  0.698  0.449  0.395
Tl  0.698  0.949  0.395
Tl  0.302  0.051  0.605
Tl  0.302  0.551  0.605
C  0.000  0.750  0.000
C  0.000  0.250  0.000